1.
The following is a GGA-PBE calculation of a relaxed AcAsI2 crystal, from Alexandria. Values from VASP.

Electronic total energy ... -0.1211 Ha/atom
Space-group type ... R-3m

Cell and atoms, written as Quantum ESPRESSO input:
```
&SYSTEM
  ibrav = 0, nat = 4, ntyp = 3
/
ATOMIC_SPECIES
Ac 227.00 Ac.upf
As 74.92 As.upf
I 126.90 I.upf
CELL_PARAMETERS angstrom
2.0256 1.1695 10.6892
-2.0256 1.1695 10.6892
0.0000 -2.3389 10.6892
ATOMIC_POSITIONS angstrom
Ac 0.0000 0.0000 0.0000
As 0.0000 0.0000 16.0338
I 0.0000 0.0000 13.1315
I 0.0000 0.0000 18.9361
```



2.
The following is a GGA-PBE calculation of a relaxed AcAsI crystal, from Alexandria. Values from VASP.

Electronic total energy ... -0.1600 Ha/atom
Energy above the lowest structure with this stoichiometry ... 0.00 eV per formula unit
Space-group type ... I4mm

Cell and atoms, written as Quantum ESPRESSO input:
```
&SYSTEM
  ibrav = 0, nat = 3, ntyp = 3
/
ATOMIC_SPECIES
Ac 227.00 Ac.upf
As 74.92 As.upf
I 126.90 I.upf
CELL_PARAMETERS angstrom
-2.1271 2.1271 5.8388
2.1271 -2.1271 5.8388
2.1271 2.1271 -5.8388
ATOMIC_POSITIONS angstrom
Ac 0.0000 0.0000 0.0000
As 0.0000 0.0000 6.8149
I 0.0000 0.0000 3.6051
```



3.
The following is a GGA-PBE calculation of a relaxed Ac5As4I crystal, from Alexandria. Values from VASP.

Electronic total energy ... -0.2012 Ha/atom
Space-group type ... Immm

Cell and atoms, written as Quantum ESPRESSO input:
```
&SYSTEM
  ibrav = 0, nat = 10, ntyp = 3
/
ATOMIC_SPECIES
Ac 227.00 Ac.upf
As 74.92 As.upf
I 126.90 I.upf
CELL_PARAMETERS angstrom
-2.2772 3.2410 11.5329
2.2772 -3.2410 11.5329
2.2772 3.2410 -11.5329
ATOMIC_POSITIONS angstrom
Ac 0.0000 0.0000 0.0000
Ac 0.0000 0.0000 4.5763
Ac 0.0000 0.0000 8.9068
Ac 0.0000 0.0000 14.1590
Ac 0.0000 0.0000 18.4896
As 2.2772 0.0000 2.2527
As 2.2772 0.0000 6.8405
As 0.0000 3.2410 4.6925
As 0.0000 3.2410 9.2803
I 0.0000 3.2410 0.0000
```



4.
The following is a GGA-PBE calculation of a relaxed Ac4InAsI2 crystal, from Alexandria. Values from VASP.

Electronic total energy ... -0.1591 Ha/atom
Space-group type ... P2/m

Cell and atoms, written as Quantum ESPRESSO input:
```
&SYSTEM
  ibrav = 0, nat = 8, ntyp = 4
/
ATOMIC_SPECIES
Ac 227.00 Ac.upf
In 114.82 In.upf
As 74.92 As.upf
I 126.90 I.upf
CELL_PARAMETERS angstrom
8.1481 0.0000 0.0000
0.0000 4.7450 0.0000
-2.7897 0.0000 7.9644
ATOMIC_POSITIONS angstrom
Ac 1.2746 0.0000 1.6540
Ac -0.1419 2.3725 6.2495
Ac 5.5003 2.3725 1.7149
Ac 4.0838 0.0000 6.3104
In 4.0740 0.0000 0.0000
As 0.0000 2.3725 0.0000
I -1.3948 0.0000 3.9822
I 2.6792 2.3725 3.9822
```



5.
The following is a GGA-PBE calculation of a relaxed Ac8AsIr3I4 crystal, from Alexandria. Values from VASP.

Electronic total energy ... -0.2014 Ha/atom
Space-group type ... R-3m

Cell and atoms, written as Quantum ESPRESSO input:
```
&SYSTEM
  ibrav = 0, nat = 16, ntyp = 4
/
ATOMIC_SPECIES
Ac 227.00 Ac.upf
As 74.92 As.upf
Ir 192.22 Ir.upf
I 126.90 I.upf
CELL_PARAMETERS angstrom
4.4829 2.5882 8.5455
-4.4829 2.5882 8.5455
0.0000 -5.1764 8.5455
ATOMIC_POSITIONS angstrom
Ac -2.3511 -1.3574 14.4053
Ac 0.0000 0.0000 5.8505
Ac 0.0000 -2.7148 11.2312
Ac -2.3511 1.3574 11.2312
Ac 2.3511 -1.3574 14.4053
Ac 0.0000 2.7148 14.4053
Ac 0.0000 0.0000 19.7861
Ac 2.3511 1.3574 11.2312
As 0.0000 0.0000 12.8183
Ir -4.4829 0.0000 12.8183
Ir -2.2414 1.2941 4.2728
Ir 2.2414 1.2941 4.2728
I 0.0000 0.0000 0.0000
I -2.2414 -1.2941 8.5455
I -2.2414 1.2941 17.0910
I 0.0000 2.5882 8.5455
```



6.
The following is a GGA-PBE calculation of a relaxed Ac8AsIr3I3 crystal, from Alexandria. Values from VASP.

Electronic total energy ... -0.2037 Ha/atom
Space-group type ... R-3m

Cell and atoms, written as Quantum ESPRESSO input:
```
&SYSTEM
  ibrav = 0, nat = 15, ntyp = 4
/
ATOMIC_SPECIES
Ac 227.00 Ac.upf
As 74.92 As.upf
Ir 192.22 Ir.upf
I 126.90 I.upf
CELL_PARAMETERS angstrom
4.4894 2.5919 8.3089
-4.4894 2.5919 8.3089
0.0000 -5.1839 8.3089
ATOMIC_POSITIONS angstrom
Ac -2.3694 -1.3680 14.0569
Ac 0.0000 0.0000 5.7244
Ac 0.0000 -2.7360 10.8697
Ac -2.3694 1.3680 10.8697
Ac 2.3694 -1.3680 14.0569
Ac 0.0000 2.7360 14.0569
Ac 0.0000 0.0000 19.2022
Ac 2.3694 1.3680 10.8697
As 0.0000 0.0000 12.4633
Ir -4.4894 0.0000 12.4633
Ir -2.2447 1.2960 4.1544
Ir 2.2447 1.2960 4.1544
I -2.2447 -1.2960 8.3089
I -2.2447 1.2960 16.6177
I 0.0000 2.5919 8.3089
```



7.
The following is a GGA-PBE calculation of a relaxed Ac4AsI2N crystal, from Alexandria. Values from VASP.

Electronic total energy ... -0.1913 Ha/atom
Space-group type ... P2/m

Cell and atoms, written as Quantum ESPRESSO input:
```
&SYSTEM
  ibrav = 0, nat = 8, ntyp = 4
/
ATOMIC_SPECIES
Ac 227.00 Ac.upf
As 74.92 As.upf
I 126.90 I.upf
N 14.01 N.upf
CELL_PARAMETERS angstrom
7.5542 0.0000 0.0000
0.0000 4.2201 0.0000
-2.3859 0.0000 8.2268
ATOMIC_POSITIONS angstrom
Ac 1.0800 0.0000 1.4934
Ac -0.1953 2.1100 6.6793
Ac 5.3636 2.1100 1.5475
Ac 4.0883 0.0000 6.7333
As 3.7771 0.0000 0.0000
I -1.1930 0.0000 4.1134
I 2.5842 2.1100 4.1134
N 0.0000 2.1100 0.0000
```



8.
The following is a GGA-PBE calculation of a relaxed Ac4NiAsI2 crystal, from Alexandria. Values from VASP.

Electronic total energy ... -0.1730 Ha/atom
Space-group type ... P2/m

Cell and atoms, written as Quantum ESPRESSO input:
```
&SYSTEM
  ibrav = 0, nat = 8, ntyp = 4
/
ATOMIC_SPECIES
Ac 227.00 Ac.upf
Ni 58.69 Ni.upf
As 74.92 As.upf
I 126.90 I.upf
CELL_PARAMETERS angstrom
8.1124 0.0000 0.0000
0.0000 4.3360 0.0000
-2.4033 0.0000 8.2706
ATOMIC_POSITIONS angstrom
Ac 1.2359 0.0000 1.5417
Ac 0.1797 2.1680 6.6100
Ac 5.5294 2.1680 1.6606
Ac 4.4732 0.0000 6.7288
Ni 0.0000 2.1680 0.0000
As 4.0562 0.0000 0.0000
I -1.2016 0.0000 4.1353
I 2.8545 2.1680 4.1353
```



9.
The following is a GGA-PBE calculation of a relaxed Ac4AsOsI2 crystal, from Alexandria. Values from VASP.

Electronic total energy ... -0.1974 Ha/atom
Space-group type ... P2/m

Cell and atoms, written as Quantum ESPRESSO input:
```
&SYSTEM
  ibrav = 0, nat = 8, ntyp = 4
/
ATOMIC_SPECIES
Ac 227.00 Ac.upf
As 74.92 As.upf
Os 190.23 Os.upf
I 126.90 I.upf
CELL_PARAMETERS angstrom
8.0678 0.0000 0.0000
0.0000 4.4082 0.0000
-2.3376 0.0000 8.4059
ATOMIC_POSITIONS angstrom
Ac 1.2525 0.0000 1.5696
Ac 0.1008 2.2041 6.8069
Ac 5.6293 2.2041 1.5990
Ac 4.4777 0.0000 6.8363
As 4.0339 0.0000 0.0000
Os 0.0000 2.2041 0.0000
I -1.1688 0.0000 4.2030
I 2.8651 2.2041 4.2030
```



10.
The following is a GGA-PBE calculation of a relaxed Ac6AsP2I3 crystal, from Alexandria. Values from VASP.

Electronic total energy ... -0.1853 Ha/atom
Space-group type ... C2/m

Cell and atoms, written as Quantum ESPRESSO input:
```
&SYSTEM
  ibrav = 0, nat = 12, ntyp = 4
/
ATOMIC_SPECIES
Ac 227.00 Ac.upf
As 74.92 As.upf
P 30.97 P.upf
I 126.90 I.upf
CELL_PARAMETERS angstrom
3.8910 -6.7412 0.0000
3.8910 6.7412 0.0000
-2.5941 0.0000 8.0597
ATOMIC_POSITIONS angstrom
Ac -0.0278 2.2959 6.4727
Ac 1.2409 0.0000 1.5810
Ac -0.0278 -2.2959 6.4727
Ac 5.2157 2.2959 1.5870
Ac 3.9470 0.0000 6.4788
Ac 5.2157 -2.2959 1.5870
As 3.8910 0.0000 0.0000
P 3.8910 4.4925 0.0000
P 3.8910 -4.4925 0.0000
I -1.2970 0.0000 4.0299
I 2.5939 2.2206 4.0299
I 2.5939 -2.2206 4.0299
```



11.
The following is a GGA-PBE calculation of a relaxed Ac6As3P2I crystal, from Alexandria. Values from VASP.

Electronic total energy ... -0.2086 Ha/atom
Space-group type ... C2/m

Cell and atoms, written as Quantum ESPRESSO input:
```
&SYSTEM
  ibrav = 0, nat = 12, ntyp = 4
/
ATOMIC_SPECIES
Ac 227.00 Ac.upf
As 74.92 As.upf
P 30.97 P.upf
I 126.90 I.upf
CELL_PARAMETERS angstrom
9.8613 -2.2635 0.0000
9.8613 2.2635 0.0000
-2.0172 0.0000 8.9077
ATOMIC_POSITIONS angstrom
Ac -0.4824 0.0000 2.4629
Ac 4.5507 0.0000 8.0454
Ac 5.6816 0.0000 3.7455
Ac 12.0239 0.0000 5.1622
Ac 13.1547 0.0000 0.8623
Ac 18.1878 0.0000 6.4448
As 1.5063 0.0000 7.4397
As 8.8527 0.0000 4.4538
As 16.1992 0.0000 1.4680
P 2.6181 0.0000 2.9579
P 15.0874 0.0000 5.9498
I 9.8613 0.0000 0.0000
```



12.
The following is a GGA-PBE calculation of a relaxed Ac6As2P3I crystal, from Alexandria. Values from VASP.

Electronic total energy ... -0.2114 Ha/atom
Space-group type ... C2/m

Cell and atoms, written as Quantum ESPRESSO input:
```
&SYSTEM
  ibrav = 0, nat = 12, ntyp = 4
/
ATOMIC_SPECIES
Ac 227.00 Ac.upf
As 74.92 As.upf
P 30.97 P.upf
I 126.90 I.upf
CELL_PARAMETERS angstrom
9.8659 -2.2475 0.0000
9.8659 2.2475 0.0000
-2.1697 0.0000 8.8568
ATOMIC_POSITIONS angstrom
Ac -0.4496 0.0000 1.9580
Ac 5.4703 0.0000 3.6676
Ac 4.5978 0.0000 8.1060
Ac 12.9644 0.0000 0.7509
Ac 12.0919 0.0000 5.1893
Ac 18.0118 0.0000 6.8989
As 1.4566 0.0000 7.3406
As 16.1056 0.0000 1.5163
P 2.5072 0.0000 2.9579
P 9.8659 0.0000 0.0000
P 15.0550 0.0000 5.8989
I 8.7811 0.0000 4.4284
```



13.
The following is a GGA-PBE calculation of a relaxed Ac4AsPI2 crystal, from Alexandria. Values from VASP.

Electronic total energy ... -0.1839 Ha/atom
Space-group type ... P2/m

Cell and atoms, written as Quantum ESPRESSO input:
```
&SYSTEM
  ibrav = 0, nat = 8, ntyp = 4
/
ATOMIC_SPECIES
Ac 227.00 Ac.upf
As 74.92 As.upf
P 30.97 P.upf
I 126.90 I.upf
CELL_PARAMETERS angstrom
7.8480 0.0000 0.0000
0.0000 4.5066 0.0000
-2.5995 0.0000 8.0254
ATOMIC_POSITIONS angstrom
Ac 1.2451 0.0000 1.5774
Ac -0.0607 2.2533 6.4286
Ac 5.3092 2.2533 1.5969
Ac 4.0034 0.0000 6.4480
As 3.9240 0.0000 0.0000
P 0.0000 2.2533 0.0000
I -1.2997 0.0000 4.0127
I 2.6243 2.2533 4.0127
```



14.
The following is a GGA-PBE calculation of a relaxed Ac8AsPd3I4 crystal, from Alexandria. Values from VASP.

Electronic total energy ... -0.1731 Ha/atom
Space-group type ... R-3m

Cell and atoms, written as Quantum ESPRESSO input:
```
&SYSTEM
  ibrav = 0, nat = 16, ntyp = 4
/
ATOMIC_SPECIES
Ac 227.00 Ac.upf
As 74.92 As.upf
Pd 106.42 Pd.upf
I 126.90 I.upf
CELL_PARAMETERS angstrom
4.5204 2.6099 8.4598
-4.5204 2.6099 8.4598
0.0000 -5.2197 8.4598
ATOMIC_POSITIONS angstrom
Ac -2.3112 -1.3344 14.3461
Ac 0.0000 0.0000 5.8214
Ac 0.0000 -2.6688 11.0333
Ac -2.3112 1.3344 11.0333
Ac 2.3112 -1.3344 14.3461
Ac 0.0000 2.6688 14.3461
Ac 0.0000 0.0000 19.5580
Ac 2.3112 1.3344 11.0333
As 0.0000 0.0000 12.6897
Pd -4.5204 0.0000 12.6897
Pd -2.2602 1.3049 4.2299
Pd 2.2602 1.3049 4.2299
I 0.0000 0.0000 0.0000
I -2.2602 -1.3049 8.4598
I -2.2602 1.3049 16.9196
I 0.0000 2.6099 8.4598
```



15.
The following is a GGA-PBE calculation of a relaxed Ac4AsPdI2 crystal, from Alexandria. Values from VASP.

Electronic total energy ... -0.1747 Ha/atom
Space-group type ... P2/m

Cell and atoms, written as Quantum ESPRESSO input:
```
&SYSTEM
  ibrav = 0, nat = 8, ntyp = 4
/
ATOMIC_SPECIES
Ac 227.00 Ac.upf
As 74.92 As.upf
Pd 106.42 Pd.upf
I 126.90 I.upf
CELL_PARAMETERS angstrom
8.1840 0.0000 0.0000
0.0000 4.4072 0.0000
-2.4429 0.0000 8.1628
ATOMIC_POSITIONS angstrom
Ac 1.3078 0.0000 1.5831
Ac 0.2381 2.2036 6.4842
Ac 5.5030 2.2036 1.6786
Ac 4.4333 0.0000 6.5797
As 4.0920 0.0000 0.0000
Pd 0.0000 2.2036 0.0000
I -1.2214 0.0000 4.0814
I 2.8705 2.2036 4.0814
```



16.
The following is a GGA-PBE calculation of a relaxed AcPrAsI crystal, from Alexandria. Values from VASP.

Electronic total energy ... -0.1862 Ha/atom
Space-group type ... R3m

Cell and atoms, written as Quantum ESPRESSO input:
```
&SYSTEM
  ibrav = 0, nat = 4, ntyp = 4
/
ATOMIC_SPECIES
Ac 227.00 Ac.upf
Pr 140.91 Pr.upf
As 74.92 As.upf
I 126.90 I.upf
CELL_PARAMETERS angstrom
2.1754 1.2560 8.2219
-2.1754 1.2560 8.2219
0.0000 -2.5119 8.2219
ATOMIC_POSITIONS angstrom
Ac 0.0000 0.0000 0.0000
Pr 0.0000 0.0000 19.7832
As 0.0000 0.0000 10.0326
I 0.0000 0.0000 5.6569
```



17.
The following is a GGA-PBE calculation of a relaxed Ac6AsPt2I2 crystal, from Alexandria. Values from VASP.

Electronic total energy ... -0.1871 Ha/atom
Space-group type ... C2/m

Cell and atoms, written as Quantum ESPRESSO input:
```
&SYSTEM
  ibrav = 0, nat = 11, ntyp = 4
/
ATOMIC_SPECIES
Ac 227.00 Ac.upf
As 74.92 As.upf
Pt 195.08 Pt.upf
I 126.90 I.upf
CELL_PARAMETERS angstrom
4.0299 -6.7320 0.0000
4.0299 6.7320 0.0000
-2.4388 0.0000 7.9420
ATOMIC_POSITIONS angstrom
Ac 0.1532 2.2665 6.3438
Ac 1.1581 0.0000 1.6261
Ac 0.1532 -2.2665 6.3438
Ac 5.4679 2.2665 1.5982
Ac 4.4629 0.0000 6.3159
Ac 5.4679 -2.2665 1.5982
As 4.0299 0.0000 0.0000
Pt 4.0299 4.4491 0.0000
Pt 4.0299 -4.4491 0.0000
I 2.8105 2.1517 3.9710
I 2.8105 -2.1517 3.9710
```



18.
The following is a GGA-PBE calculation of a relaxed Ac4AsPtI2 crystal, from Alexandria. Values from VASP.

Electronic total energy ... -0.1832 Ha/atom
Space-group type ... P2/m

Cell and atoms, written as Quantum ESPRESSO input:
```
&SYSTEM
  ibrav = 0, nat = 8, ntyp = 4
/
ATOMIC_SPECIES
Ac 227.00 Ac.upf
As 74.92 As.upf
Pt 195.08 Pt.upf
I 126.90 I.upf
CELL_PARAMETERS angstrom
8.1802 0.0000 0.0000
0.0000 4.4175 0.0000
-2.4711 0.0000 8.2263
ATOMIC_POSITIONS angstrom
Ac 1.2739 0.0000 1.5702
Ac 0.1764 2.2087 6.5627
Ac 5.5327 2.2087 1.6637
Ac 4.4352 0.0000 6.6561
As 4.0901 0.0000 0.0000
Pt 0.0000 2.2087 0.0000
I -1.2356 0.0000 4.1132
I 2.8545 2.2087 4.1132
```



19.
The following is a GGA-PBE calculation of a relaxed Ac8AsPt3I4 crystal, from Alexandria. Values from VASP.

Electronic total energy ... -0.1860 Ha/atom
Space-group type ... R-3m

Cell and atoms, written as Quantum ESPRESSO input:
```
&SYSTEM
  ibrav = 0, nat = 16, ntyp = 4
/
ATOMIC_SPECIES
Ac 227.00 Ac.upf
As 74.92 As.upf
Pt 195.08 Pt.upf
I 126.90 I.upf
CELL_PARAMETERS angstrom
4.5348 2.6182 8.5061
-4.5348 2.6182 8.5061
0.0000 -5.2364 8.5061
ATOMIC_POSITIONS angstrom
Ac -2.3467 -1.3549 14.3753
Ac 0.0000 0.0000 5.8264
Ac 0.0000 -2.7098 11.1430
Ac -2.3467 1.3549 11.1430
Ac 2.3467 -1.3549 14.3753
Ac 0.0000 2.7098 14.3753
Ac 0.0000 0.0000 19.6919
Ac 2.3467 1.3549 11.1430
As 0.0000 0.0000 12.7591
Pt -4.5348 0.0000 12.7591
Pt -2.2674 1.3091 4.2530
Pt 2.2674 1.3091 4.2530
I 0.0000 0.0000 0.0000
I -2.2674 -1.3091 8.5061
I -2.2674 1.3091 17.0122
I 0.0000 2.6182 8.5061
```



20.
The following is a GGA-PBE calculation of a relaxed Ac8AsPt3I3 crystal, from Alexandria. Values from VASP.

Electronic total energy ... -0.1875 Ha/atom
Space-group type ... C2/m

Cell and atoms, written as Quantum ESPRESSO input:
```
&SYSTEM
  ibrav = 0, nat = 15, ntyp = 4
/
ATOMIC_SPECIES
Ac 227.00 Ac.upf
As 74.92 As.upf
Pt 195.08 Pt.upf
I 126.90 I.upf
CELL_PARAMETERS angstrom
7.8751 -4.5499 0.0000
7.8751 4.5499 0.0000
-5.2584 0.0000 8.1805
ATOMIC_POSITIONS angstrom
Ac 3.8657 2.3874 5.7252
Ac -0.0081 0.0000 5.6416
Ac 2.4909 0.0000 2.4540
Ac 6.6260 2.3874 2.4553
Ac 3.8657 -2.3874 5.7252
Ac 8.0008 0.0000 5.7265
Ac 10.4999 0.0000 2.5389
Ac 6.6260 -2.3874 2.4553
As 5.2459 0.0000 4.0902
Pt -2.6292 0.0000 4.0902
Pt 1.3083 2.2750 4.0902
Pt 1.3083 -2.2750 4.0902
I 3.9375 2.2750 0.0000
I 3.9375 -2.2750 0.0000
I 7.8751 0.0000 0.0000
```